Below is a relaxed structure of CaBrCl2, with properties calculated at the GGA-PBE level.

a b c (Å): 9.428 9.428 9.428
angles (deg): 25.58 25.58 25.58
Sites, in units of the cell vectors:
Ca 0.000 0.000 0.000
Br 0.273 0.273 0.273
Cl 0.501 0.501 0.501
Cl 0.715 0.715 0.715

Formation energy from raw total energies   -1326 meV/atom
Polymorph energy (0 for the lowest one)   29.8 kJ per mole of atoms

=====

Below is a relaxed structure of LaYN2F, with properties calculated at the GGA-PBE level.

a b c (Å): 4.460 4.460 4.229
angles (deg): 90.00 90.00 90.00
Sites, in units of the cell vectors:
La 0.000 0.000 0.000
Y 0.500 0.500 0.500
N 0.000 0.500 0.500
N 0.500 0.000 0.500
F 0.500 0.500 0.000

Formation energy from raw total energies   -1453 meV/atom
Polymorph energy (0 for the lowest one)   0.0 kJ per mole of atoms

=====

Below is a relaxed structure of Pm4SmTh, with properties calculated at the GGA-PBE level.

a b c (Å): 3.615 6.300 9.645
angles (deg): 77.61 79.30 73.37
Sites, in units of the cell vectors:
Pm 0.163 0.000 0.173
Pm 0.164 0.507 0.662
Pm 0.836 0.493 0.338
Pm 0.837 0.000 0.827
Sm 0.500 0.500 0.000
Th 0.500 0.000 0.500

ΔE_f   0.028 eV per atom
Polymorph energy (0 for the lowest one)   0.0 kJ per mole of atoms

=====

Below is a relaxed structure of TbDy2Bi, with properties calculated at the GGA-PBE level.

a b c (Å): 4.862 4.862 4.857
angles (deg): 90.00 90.00 90.00
Sites, in units of the cell vectors:
Tb 0.000 0.000 0.000
Dy 0.000 0.500 0.500
Dy 0.500 0.000 0.500
Bi 0.500 0.500 0.000

ΔE_f   -0.344 eV per atom
Polymorph energy (0 for the lowest one)   7.6 kJ per mole of atoms

=====

no.,total magnetization (μB per formula unit)
1,1.01
2,0.09
3,0.00
4,0.00